Below is a relaxed structure of CsK5Na2, with properties calculated at the PBE level.

For the total moment, the calculation gives 0.00 μB/cell. Its calculated formation energy is 0.03 eV/atom. The total energy is -1.096 eV per atom.

```
8
Lattice="-2.454 1.611 -3.830 4.310 -5.857 -8.266 -7.241 -8.094 -1.806" Properties=species:S:1:pos:R:3 pbc="T T T"
K -1.465 -6.976 -5.036
K -0.147 -3.482 -7.451
K -5.102 -4.442 -4.680
K -5.238 -8.858 -6.451
K -0.283 -7.898 -9.222
Cs 0.000 0.000 0.000
Na -4.044 -9.410 -10.489
Na -1.342 -2.930 -3.413
```